Entry from the Alexandria database: MgAlAs after structural relaxation (PBE).

Summary:
The calculation puts the mass density at 3641 kg/m³. Its formation energy is -0.023 eV/atom. The value obtained for the total energy is -10.1 eV/cell. As for the symmetry: No. 107.

Cell: 6.1163 6.1163 6.1163 Å, 149.85 149.85 43.15°
Last column: nearest neighbours and their distance in Å.
Positions (direct):
Al1 0.9886 0.9886 0.0000  4 As 2.81, 4 Mg 3.06
As1 0.3404 0.3404 0.0000  4 Al 2.81, 4 Mg 2.96
Mg1 0.6710 0.6710 0.0000  4 As 2.96, 4 Al 3.06, 4 Mg 3.18